The following is a DFT calculation (PBE) of Cu5Ag3 after structural relaxation.

a b c (Å): 4.632 4.632 5.535
angles (deg): 90.00 90.00 107.23
Positions (direct):
Cu1 0.000 0.000 0.000
Cu2 0.000 0.500 0.237
Cu3 0.000 0.500 0.763
Cu4 0.500 0.000 0.237
Cu5 0.500 0.000 0.763
Ag1 0.000 0.000 0.500
Ag2 0.500 0.500 0.000
Ag3 0.500 0.500 0.500

Excess energy over the best structure of this formula in the dataset: 53.7 meV/atom

***

The following is a DFT calculation (PBE) of CuAg after structural relaxation.

a b c (Å): 2.800 2.800 13.305
angles (deg): 90.00 90.00 120.00
Positions (direct):
Cu1 0.000 0.000 0.000
Cu2 0.333 0.667 0.854
Cu3 0.667 0.333 0.146
Ag1 0.000 0.000 0.500
Ag2 0.333 0.667 0.313
Ag3 0.667 0.333 0.687

***

The following is a DFT calculation (PBE) of Cu3Ag7 after structural relaxation.

a b c (Å): 7.554 7.554 5.768
angles (deg): 101.88 101.88 30.46
Positions (direct):
Cu1 0.000 0.000 0.000
Cu2 0.200 0.200 0.094
Cu3 0.800 0.800 0.906
Ag1 0.000 0.000 0.500
Ag2 0.204 0.204 0.612
Ag3 0.396 0.396 0.187
Ag4 0.401 0.401 0.711
Ag5 0.599 0.599 0.289
Ag6 0.604 0.604 0.813
Ag7 0.796 0.796 0.388

Excess energy over the best structure of this formula in the dataset: 47.5 meV/atom

***

The following is a DFT calculation (PBE) of CuAg after structural relaxation.

a b c (Å): 5.916 5.916 9.348
angles (deg): 99.67 99.67 27.71
Positions (direct):
Cu1 0.000 0.000 0.000
Cu2 0.196 0.196 0.625
Cu3 0.508 0.508 0.525
Cu4 0.601 0.601 0.811
Cu5 0.816 0.816 0.433
Ag1 0.117 0.117 0.343
Ag2 0.299 0.299 0.915
Ag3 0.407 0.407 0.222
Ag4 0.689 0.689 0.115
Ag5 0.904 0.904 0.710

***

The following is a DFT calculation (PBE) of Cu3Ag4 after structural relaxation.

a b c (Å): 13.338 13.338 13.338
angles (deg): 167.71 167.71 17.42
Positions (direct):
Cu1 0.000 0.000 0.000
Cu2 0.141 0.141 0.000
Cu3 0.698 0.698 0.000
Ag1 0.268 0.268 0.000
Ag2 0.431 0.431 0.000
Ag3 0.570 0.570 0.000
Ag4 0.850 0.850 0.000

Excess energy over the best structure of this formula in the dataset: 22.9 meV/atom

***

The following is a DFT calculation (PBE) of Cu3Ag2 after structural relaxation.

a b c (Å): 2.757 3.715 13.923
angles (deg): 90.00 90.00 90.00
Positions (direct):
Cu1 0.000 0.000 0.104
Cu2 0.000 0.000 0.281
Cu3 0.000 0.000 0.719
Cu4 0.000 0.000 0.896
Cu5 0.500 0.500 0.192
Cu6 0.500 0.500 0.808
Ag1 0.000 0.000 0.500
Ag2 0.500 0.500 0.000
Ag3 0.500 0.500 0.383
Ag4 0.500 0.500 0.617

Excess energy over the best structure of this formula in the dataset: 40.8 meV/atom

***

Number 1: E_form 0.101 eV/atom, volume 14.178 Å³ per atom. Number 2: E_form 0.091 eV/atom, volume 15.050 Å³ per atom. Number 3: E_form 0.076 eV/atom, volume 16.297 Å³ per atom. Number 4: E_form 0.101 eV/atom, volume 14.986 Å³ per atom. Number 5: E_form 0.065 eV/atom, volume 15.369 Å³ per atom. Number 6: E_form 0.083 eV/atom, volume 14.261 Å³ per atom.